Record 1
VASP calculation (PBE) on a relaxed structure of CaNb2TcAg. Values from VASP.

Results
Total energy in eV/atom: -5.237
E_form in meV/atom: 1834

Geometry as Quantum ESPRESSO input:
```
&SYSTEM
  ibrav = 0, nat = 5, ntyp = 4
/
ATOMIC_SPECIES
Ca 40.08 Ca.upf
Nb 92.91 Nb.upf
Tc 98.00 Tc.upf
Ag 107.87 Ag.upf
CELL_PARAMETERS angstrom
-3.131 2.856 -2.653
-2.885 0.718 4.178
2.699 4.044 1.168
ATOMIC_POSITIONS crystal
Ca 0.000 0.500 0.000
Nb 0.500 0.000 0.000
Nb 0.000 0.000 0.500
Tc 0.500 0.500 0.500
Ag 0.000 0.000 0.000
```



Record 2
VASP calculation (PBE) on a relaxed structure of P3RhO9. Values from VASP.

Results
E_form (uncorrected) in eV per atom: -1.795
Total energy in eV/atom: -7.041

Geometry as Quantum ESPRESSO input:
```
&SYSTEM
  ibrav = 0, nat = 78, ntyp = 3
/
ATOMIC_SPECIES
O 16.00 O.upf
Rh 102.91 Rh.upf
P 30.97 P.upf
CELL_PARAMETERS angstrom
-7.399 3.228 4.998
-4.936 -8.088 -4.936
8.530 -3.473 7.279
ATOMIC_POSITIONS crystal
O 0.928 0.118 0.774
O 0.036 0.678 0.936
O 0.371 0.810 0.381
O 0.466 0.325 0.336
O 0.763 0.497 0.804
O 0.511 0.382 0.809
O 0.518 0.492 0.043
O 0.852 0.778 0.325
O 0.202 0.573 0.191
O 0.562 0.859 0.876
O 0.724 0.112 0.041
O 0.454 0.105 0.145
O 0.687 0.218 0.375
O 0.010 0.321 0.102
O 0.309 0.585 0.936
O 0.809 0.960 0.855
O 0.867 0.649 0.463
O 0.152 0.303 0.527
O 0.643 0.998 0.415
O 0.490 0.429 0.619
O 0.172 0.281 0.733
O 0.799 0.022 0.280
O 0.479 0.593 0.356
O 0.123 0.986 0.667
O 0.905 0.187 0.537
O 0.408 0.219 0.898
O 0.940 0.548 0.267
O 0.027 0.453 0.675
O 0.630 0.989 0.664
O 0.623 0.237 0.644
O 0.840 0.902 0.037
O 0.210 0.355 0.009
O 0.975 0.449 0.957
O 0.459 0.694 0.196
O 0.366 0.081 0.374
O 0.245 0.451 0.419
O 0.304 0.866 0.963
O 0.145 0.179 0.293
O 0.326 0.032 0.581
O 0.352 0.886 0.707
O 0.019 0.742 0.720
O 0.125 0.776 0.473
O 0.184 0.071 0.959
O 0.301 0.652 0.721
O 0.813 0.844 0.625
O 0.599 0.742 0.064
O 0.080 0.930 0.279
O 0.185 0.983 0.124
O 0.956 0.319 0.333
O 0.701 0.346 0.991
O 0.728 0.584 0.585
O 0.873 0.649 0.064
O 0.492 0.708 0.626
O 0.654 0.344 0.226
Rh 0.485 0.514 0.490
Rh 0.164 0.661 0.824
Rh 0.495 0.024 0.510
Rh 0.830 0.331 0.161
Rh 0.839 0.836 0.176
Rh 0.170 0.170 0.839
P 0.196 0.039 0.275
P 0.752 0.094 0.393
P 0.232 0.929 0.607
P 0.593 0.378 0.708
P 0.939 0.686 0.372
P 0.917 0.580 0.948
P 0.067 0.314 0.628
P 0.858 0.701 0.607
P 0.534 0.351 0.936
P 0.470 0.632 0.052
P 0.125 0.322 0.393
P 0.385 0.670 0.292
P 0.567 0.259 0.272
P 0.795 0.987 0.728
P 0.739 0.968 0.963
P 0.276 0.005 0.037
P 0.098 0.415 0.064
P 0.421 0.764 0.725
```



Record 3
VASP calculation (PBE) on a relaxed structure of Zr4Ir2N. Values from VASP.

Results
E_form (uncorrected) in eV per atom: -1.058
Total energy in eV/atom: -9.664

Geometry as Quantum ESPRESSO input:
```
&SYSTEM
  ibrav = 0, nat = 28, ntyp = 3
/
ATOMIC_SPECIES
Zr 91.22 Zr.upf
N 14.01 N.upf
Ir 192.22 Ir.upf
CELL_PARAMETERS angstrom
8.831 0.000 0.000
4.415 7.648 0.000
4.415 2.549 7.210
ATOMIC_POSITIONS crystal
Zr 0.184 0.184 0.816
Zr 0.434 0.066 0.434
Zr 0.066 0.434 0.066
Zr 0.184 0.816 0.184
Zr 0.816 0.184 0.184
Zr 0.066 0.066 0.434
Zr 0.125 0.625 0.625
Zr 0.434 0.066 0.066
Zr 0.625 0.125 0.625
Zr 0.625 0.625 0.625
Zr 0.066 0.434 0.434
Zr 0.625 0.625 0.125
Zr 0.816 0.184 0.816
Zr 0.184 0.816 0.816
Zr 0.434 0.434 0.066
Zr 0.816 0.816 0.184
N 0.625 0.125 0.125
N 0.125 0.125 0.125
N 0.125 0.625 0.125
N 0.125 0.125 0.625
Ir 0.409 0.772 0.409
Ir 0.841 0.841 0.478
Ir 0.841 0.841 0.841
Ir 0.409 0.409 0.772
Ir 0.409 0.409 0.409
Ir 0.772 0.409 0.409
Ir 0.478 0.841 0.841
Ir 0.841 0.478 0.841
```



Question: total energy of number 3 (Zr4Ir2N)?
Answer: -9.664 eV/atom



Question: Which of these has the lowest total energy?
Answer: Zr4Ir2N